# ZrCrP2 GGA-PBEsol relaxed
# Excess energy over the best structure of this formula in the dataset   298 meV per atom
# V   14.07 Å³/atom
# Crystal system   cubic
# Final energy   -8.24 eV per atom
# Magnetization   0.00 μB/cell
# Energy of formation from the pure elements   -0.51 eV/atom
data_ZrCrP2
_chemical_formula_sum 'Zr4 Cr4 P8'
_symmetry_space_group_name_H-M 'F m -3 m'
_symmetry_Int_Tables_number 225
_symmetry_space_group_name_Hall '-F 4 2 3'
_cell_length_a 6.0839
_cell_length_b 6.0839
_cell_length_c 6.0839
_cell_angle_alpha 90.00
_cell_angle_beta 90.00
_cell_angle_gamma 90.00
loop_
_atom_site_label
_atom_site_fract_x
_atom_site_fract_y
_atom_site_fract_z
Zr1 0.0000 0.0000 0.0000
Cr1 0.0000 0.0000 0.5000
P1 0.2500 0.2500 0.2500